Entry 1:
# Sr2SnSe5 | the Alexandria database | GGA-PBE | relaxed
data_Sr2SnSe5
_symmetry_space_group_name_H-M 'P 21 21 2'
_symmetry_Int_Tables_number 18
_symmetry_space_group_name_Hall 'P 2 2ab'
_cell_length_a 12.249
_cell_length_b 16.783
_cell_length_c 8.739
_cell_angle_alpha 90.00
_cell_angle_beta 90.00
_cell_angle_gamma 90.00
loop_
_atom_site_label
_atom_site_type_symbol
_atom_site_fract_x
_atom_site_fract_y
_atom_site_fract_z
Sr1 Sr 0.115 0.179 0.243
Sr2 Sr 0.118 0.180 0.741
Sr3 Sr 0.245 0.432 0.259
Sr4 Sr 0.247 0.430 0.761
Sn1 Sn 0.052 0.604 0.992
Sn2 Sn 0.091 0.675 0.517
Se1 Se 0.000 0.000 0.151
Se2 Se 0.000 0.000 0.658
Se3 Se 0.000 0.500 0.219
Se4 Se 0.000 0.500 0.772
Se5 Se 0.058 0.890 0.986
Se6 Se 0.063 0.891 0.486
Se7 Se 0.120 0.326 0.505
Se8 Se 0.127 0.737 0.785
Se9 Se 0.132 0.319 0.006
Se10 Se 0.132 0.753 0.272
Se11 Se 0.241 0.074 0.986
Se12 Se 0.247 0.571 0.513
# * uncorrected formation energy: -1180 meV per atom
# * magnetic moment: 0.00 μB per formula unit
# * uncorrected energy: -4.279 eV per atom

---

Entry 2:
# WBr | the Alexandria database | GGA-PBE | relaxed
data_WBr
_symmetry_space_group_name_H-M 'F d d d'
_symmetry_Int_Tables_number 70
_cell_length_a 8.006
_cell_length_b 8.170
_cell_length_c 11.630
_cell_angle_alpha 90.00
_cell_angle_beta 90.00
_cell_angle_gamma 90.00
loop_
_symmetry_equiv_pos_as_xyz
'x,y,z'
'-x,-y,-z'
'-x+1/4,-y+1/4,z'
'x+1/4,y+1/4,-z'
'x,-y+1/4,-z+1/4'
'-x,y+1/4,z+1/4'
'-x+1/4,y,-z+1/4'
'x+1/4,-y,z+1/4'
'x,y+1/2,z+1/2'
'-x,-y+1/2,-z+1/2'
'-x+1/4,-y+3/4,z+1/2'
'x+1/4,y+3/4,-z+1/2'
'x,-y+3/4,-z+3/4'
'-x,y+3/4,z+3/4'
'-x+1/4,y+1/2,-z+3/4'
'x+1/4,-y+1/2,z+3/4'
'x+1/2,y,z+1/2'
'-x+1/2,-y,-z+1/2'
'-x+3/4,-y+1/4,z+1/2'
'x+3/4,y+1/4,-z+1/2'
'x+1/2,-y+1/4,-z+3/4'
'-x+1/2,y+1/4,z+3/4'
'-x+3/4,y,-z+3/4'
'x+3/4,-y,z+3/4'
'x+1/2,y+1/2,z'
'-x+1/2,-y+1/2,-z'
'-x+3/4,-y+3/4,z'
'x+3/4,y+3/4,-z'
'x+1/2,-y+3/4,-z+1/4'
'-x+1/2,y+3/4,z+1/4'
'-x+3/4,y+1/2,-z+1/4'
'x+3/4,-y+1/2,z+1/4'
loop_
_atom_site_label
_atom_site_type_symbol
_atom_site_fract_x
_atom_site_fract_y
_atom_site_fract_z
W1 W 0.125 0.125 0.024
Br1 Br 0.074 0.375 0.875
# * excess energy over the best structure of this formula in the dataset: 1.020 eV/atom
# * uncorrected formation energy: 1103 meV per atom
# * magnetic moment: 0.00 μB per formula unit
# * uncorrected energy: -6.210 eV per atom

---

Entry 3:
# LiEuHoGa | the Alexandria database | GGA-PBE | relaxed
data_LiEuHoGa
_symmetry_space_group_name_H-M 'F -4 3 m'
_symmetry_Int_Tables_number 216
_symmetry_space_group_name_Hall 'F -4 2 3'
_cell_length_a 7.388
_cell_length_b 7.388
_cell_length_c 7.388
_cell_angle_alpha 90.00
_cell_angle_beta 90.00
_cell_angle_gamma 90.00
loop_
_atom_site_label
_atom_site_type_symbol
_atom_site_fract_x
_atom_site_fract_y
_atom_site_fract_z
Li1 Li 0.000 0.000 0.000
Eu1 Eu 0.250 0.250 0.750
Ho1 Ho 0.250 0.250 0.250
Ga1 Ga 0.000 0.000 0.500
# * energy of formation: -227 meV per atom
# * magnetic moment: 7.17 μB per formula unit
# * uncorrected energy: -5.175 eV per atom

---

- Among the records above, which one has the highest uncorrected energy?
  Sr2SnSe5